# Ba2Cd17

Ba2Cd17 after structural relaxation (PBE, the Alexandria database).

Cell: 7.872 7.872 7.872 Å, 82.80 82.80 82.80°
Atoms (fractional coordinates):
Ba (0.163, 0.163, 0.163)
Ba (0.837, 0.837, 0.837)
Cd (0.000, 0.500, 0.500)
Cd (0.146, 0.146, 0.660)
Cd (0.146, 0.660, 0.146)
Cd (0.205, 0.500, 0.795)
Cd (0.205, 0.795, 0.500)
Cd (0.340, 0.854, 0.854)
Cd (0.401, 0.401, 0.401)
Cd (0.500, 0.000, 0.500)
Cd (0.500, 0.205, 0.795)
Cd (0.500, 0.500, 0.000)
Cd (0.500, 0.795, 0.205)
Cd (0.599, 0.599, 0.599)
Cd (0.660, 0.146, 0.146)
Cd (0.795, 0.205, 0.500)
Cd (0.795, 0.500, 0.205)
Cd (0.854, 0.340, 0.854)
Cd (0.854, 0.854, 0.340)

**Formation energy from the elements**: -0.190 eV/atom
**Space-group type**: No. 166
**DOS(E_F)**: 7.5 states/eV per cell